No. 1
The following is a DFT calculation (PBE-GGA) of a relaxed CaBrNO2 crystal.

abc: 4.551 4.551 5.164
angles: 90.00 90.00 90.00
Element x y z (fractional)
Ca  0.000  0.000  0.000
Br  0.500  0.500  0.500
N  0.000  0.000  0.500
O  0.000  0.500  0.000
O  0.500  0.000  0.000

## Properties
- total energy (eV per cell) = -18.4
- V (Å³ per atom) = 21.391


No. 2
The following is a DFT calculation (PBE-GGA) of a relaxed CaBrNO2 crystal.

abc: 3.787 3.787 6.239
angles: 90.00 90.00 90.00
Element x y z (fractional)
Ca  0.000  0.000  0.000
Br  0.000  0.000  0.500
N  0.500  0.500  0.000
O  0.000  0.500  0.500
O  0.500  0.000  0.500

## Properties
- total energy (eV per cell) = -19.3
- V (Å³ per atom) = 17.896


No. 3
The following is a DFT calculation (PBE-GGA) of a relaxed CaBrN2O crystal.

abc: 4.852 4.852 5.699
angles: 90.00 90.00 90.00
Element x y z (fractional)
Ca  0.000  0.000  0.000
Br  0.000  0.000  0.500
N  0.000  0.500  0.000
N  0.500  0.000  0.000
O  0.500  0.500  0.500

## Properties
- total energy (eV per cell) = -17.9
- V (Å³ per atom) = 26.839


No. 4
The following is a DFT calculation (PBE-GGA) of a relaxed CaBrN2O crystal.

abc: 3.873 3.873 4.207
angles: 90.00 90.00 90.00
Element x y z (fractional)
Ca  0.000  0.000  0.000
Br  0.500  0.500  0.500
N  0.000  0.500  0.500
N  0.500  0.000  0.500
O  0.500  0.500  0.000

## Properties
- total energy (eV per cell) = -21.3
- V (Å³ per atom) = 12.625


No. 5
The following is a DFT calculation (PBE-GGA) of a relaxed CaBrN2O crystal.

abc: 4.924 4.924 4.538
angles: 90.00 90.00 90.00
Element x y z (fractional)
Ca  0.000  0.000  0.000
Br  0.500  0.500  0.500
N  0.000  0.500  0.000
N  0.500  0.000  0.000
O  0.000  0.000  0.500

## Properties
- total energy (eV per cell) = -18.9
- V (Å³ per atom) = 22.011


No. 6
The following is a DFT calculation (PBE-GGA) of a relaxed Ca6P2Br3N crystal.

abc: 7.054 7.054 7.431
angles: 99.02 99.02 120.05
Element x y z (fractional)
Ca  0.063  0.365  0.191
Ca  0.239  0.239  0.809
Ca  0.365  0.063  0.191
Ca  0.635  0.937  0.809
Ca  0.761  0.761  0.191
Ca  0.937  0.635  0.809
P  0.333  0.667  0.000
P  0.667  0.333  0.000
Br  0.164  0.836  0.500
Br  0.500  0.500  0.500
Br  0.836  0.164  0.500
N  0.000  0.000  0.000

## Properties
- total energy (eV per cell) = -54.0
- V (Å³ per atom) = 25.321


No. 7
The following is a DFT calculation (PBE-GGA) of a relaxed Ca6Pb2BrN crystal.

abc: 7.368 7.368 7.368
angles: 60.00 60.00 60.00
Element x y z (fractional)
Ca  0.228  0.228  0.772
Ca  0.228  0.772  0.228
Ca  0.228  0.772  0.772
Ca  0.772  0.228  0.228
Ca  0.772  0.228  0.772
Ca  0.772  0.772  0.228
Pb  0.250  0.250  0.250
Pb  0.750  0.750  0.750
Br  0.500  0.500  0.500
N  0.000  0.000  0.000

## Properties
- total energy (eV per cell) = -38.0
- V (Å³ per atom) = 28.284


No. 8
The following is a DFT calculation (PBE-GGA) of a relaxed CaPmBrN crystal.

abc: 3.699 3.699 21.440
angles: 90.00 90.00 120.00
Element x y z (fractional)
Ca  0.000  0.000  0.000
Ca  0.333  0.667  0.667
Ca  0.667  0.333  0.333
Pm  0.000  0.000  0.213
Pm  0.333  0.667  0.879
Pm  0.667  0.333  0.546
Br  0.000  0.000  0.437
Br  0.333  0.667  0.104
Br  0.667  0.333  0.771
N  0.000  0.000  0.608
N  0.333  0.667  0.275
N  0.667  0.333  0.941

## Properties
- total energy (eV per cell) = -66.4
- V (Å³ per atom) = 21.168


No. 9
The following is a DFT calculation (PBE-GGA) of a relaxed CaPrBrN crystal.

abc: 3.735 3.735 21.673
angles: 90.00 90.00 120.00
Element x y z (fractional)
Ca  0.000  0.000  0.000
Ca  0.333  0.667  0.667
Ca  0.667  0.333  0.333
Pr  0.000  0.000  0.212
Pr  0.333  0.667  0.879
Pr  0.667  0.333  0.546
Br  0.000  0.000  0.436
Br  0.333  0.667  0.102
Br  0.667  0.333  0.769
N  0.000  0.000  0.610
N  0.333  0.667  0.276
N  0.667  0.333  0.943

## Properties
- total energy (eV per cell) = -66.2
- V (Å³ per atom) = 21.821


No. 10
The following is a DFT calculation (PBE-GGA) of a relaxed Ca2PuBr2N2 crystal.

abc: 4.354 4.354 16.005
angles: 90.00 90.00 90.00
Element x y z (fractional)
Ca  0.000  0.000  0.099
Ca  0.000  0.000  0.901
Ca  0.500  0.500  0.401
Ca  0.500  0.500  0.599
Pu  0.000  0.000  0.500
Pu  0.500  0.500  0.000
Br  0.000  0.000  0.316
Br  0.000  0.000  0.684
Br  0.500  0.500  0.184
Br  0.500  0.500  0.816
N  0.000  0.500  0.000
N  0.000  0.500  0.500
N  0.500  0.000  0.000
N  0.500  0.000  0.500

## Properties
- total energy (eV per cell) = -96.3
- V (Å³ per atom) = 21.669


No. 11
The following is a DFT calculation (PBE-GGA) of a relaxed Ca2RhBrN crystal.

abc: 5.164 5.164 3.835
angles: 90.00 90.00 90.00
Element x y z (fractional)
Ca  0.000  0.500  0.000
Ca  0.500  0.000  0.000
Rh  0.000  0.000  0.500
Br  0.500  0.500  0.500
N  0.000  0.000  0.000

## Properties
- total energy (eV per cell) = -26.0
- V (Å³ per atom) = 20.448


No. 12
The following is a DFT calculation (PBE-GGA) of a relaxed CaS2BrN crystal.

abc: 5.526 5.526 4.498
angles: 90.00 90.00 90.00
Element x y z (fractional)
Ca  0.000  0.000  0.000
S  0.000  0.500  0.000
S  0.500  0.000  0.000
Br  0.500  0.500  0.500
N  0.000  0.000  0.500

## Properties
- energy relative to the lowest polymorph listed for this composition (kJ per mole of atoms) = 51.77
- total energy (eV per cell) = -14.9
- V (Å³ per atom) = 27.466